Arrangement a

First-principles (GGA-PBE) data for an optimized crystal structure of GdYAl2, as listed in OQMD via LeMat-Bulk.

Cell and atoms, written as POSCAR:
```
GdYAl2
1.0
3.611 -5.125 0.000
3.611 5.125 0.000
0.000 0.000 5.120
Gd Y Al
2 2 4
direct
0.127 0.873 0.750
0.873 0.127 0.250
0.372 0.628 0.250
0.628 0.372 0.750
0.131 0.373 0.750
0.373 0.131 0.250
0.627 0.869 0.750
0.869 0.627 0.250
```

Computed properties:
V = 23.689 Å³ per atom
Crystal system = orthorhombic

Arrangement b

First-principles (GGA-PBE) data for an optimized crystal structure of GdYAl2, as listed in OQMD via LeMat-Bulk.

Cell and atoms, written as POSCAR:
```
GdYAl2
1.0
5.074 0.000 0.000
0.000 6.110 3.113
0.000 -6.110 3.113
Gd Y Al
2 2 4
direct
0.250 0.197 0.803
0.750 0.803 0.197
0.250 0.681 0.834
0.750 0.834 0.681
0.250 0.205 0.321
0.250 0.647 0.347
0.750 0.321 0.205
0.750 0.347 0.647
```

Computed properties:
V = 24.131 Å³ per atom
Crystal system = orthorhombic

Going by the energies, arrangement a is most stable and the next is 0.220 eV/atom up.